[1]
Material: SrPmZnHg
Method: DFT, PBE
State: relaxed

Cell and atoms, written as CIF:
```
data_SrPmZnHg
_cell_length_a 3.8400
_cell_length_b 3.8400
_cell_length_c 7.6928
_cell_angle_alpha 90.00
_cell_angle_beta 90.00
_cell_angle_gamma 90.00
_symmetry_space_group_name_H-M 'P 1'
_symmetry_Int_Tables_number 1
_symmetry_space_group_name_Hall 'P 1'
loop_
_atom_site_label
_atom_site_type_symbol
_atom_site_fract_x
_atom_site_fract_y
_atom_site_fract_z
Sr1 Sr 0.5000 0.5000 0.1139
Hg1 Hg 0.0000 0.0000 0.8328
Zn1 Zn 0.0000 0.0000 0.3870
Pm1 Pm 0.5000 0.5000 0.5942
```

Output
Volume (Å³/cell): 113.4
Magnetization (μB per formula unit): 0.087
DOS at the Fermi energy (states/eV/f.u.): 3.7
Formation energy from the elements (eV per atom): -0.373
Theoretical density (g/cm3): 7.30
Space group: P4mm, No. 99

***

[2]
Material: Ba3AgPt8
Method: DFT, PBE
State: relaxed

Cell and atoms, written as CIF:
```
data_Ba3AgPt8
_cell_length_a 5.6234
_cell_length_b 5.6234
_cell_length_c 9.6990
_cell_angle_alpha 73.15
_cell_angle_beta 73.15
_cell_angle_gamma 60.00
_symmetry_space_group_name_H-M 'P 1'
_symmetry_Int_Tables_number 1
_symmetry_space_group_name_Hall 'P 1'
loop_
_atom_site_label
_atom_site_type_symbol
_atom_site_fract_x
_atom_site_fract_y
_atom_site_fract_z
Pt1 Pt 0.4427 0.9390 0.6793
Pt2 Pt 0.9350 0.4361 0.1928
Ba1 Ba 0.9953 0.9953 0.0142
Ba2 Ba 0.3761 0.3761 0.8718
Pt3 Pt 0.6878 0.6878 0.9365
Pt4 Pt 0.1883 0.1883 0.4351
Ag1 Ag 0.8714 0.8714 0.3857
Pt5 Pt 0.9390 0.4427 0.6793
Pt6 Pt 0.4361 0.4361 0.1928
Pt7 Pt 0.9390 0.9390 0.6793
Ba3 Ba 0.5032 0.5032 0.4904
Pt8 Pt 0.4361 0.9350 0.1928
```

Output
Volume (Å³/cell): 250.3
Magnetization (μB per formula unit): 0.000
DOS at the Fermi energy (states/eV/f.u.): 8.4
Formation energy from the elements (eV per atom): -0.561
Theoretical density (g/cm3): 13.80
Space group: R3m, No. 160

***

[3]
Material: LaBe2As
Method: DFT, PBE
State: relaxed

Cell and atoms, written as CIF:
```
data_LaBe2As
_cell_length_a 3.4112
_cell_length_b 3.4112
_cell_length_c 6.4778
_cell_angle_alpha 90.00
_cell_angle_beta 90.00
_cell_angle_gamma 102.77
_symmetry_space_group_name_H-M 'P 1'
_symmetry_Int_Tables_number 1
_symmetry_space_group_name_Hall 'P 1'
loop_
_atom_site_label
_atom_site_type_symbol
_atom_site_fract_x
_atom_site_fract_y
_atom_site_fract_z
Be1 Be 0.0000 0.0000 0.0095
As1 As 0.5000 0.5000 0.8236
La1 La 0.0000 0.0000 0.4995
Be2 Be 0.5000 0.5000 0.1673
```

Output
Volume (Å³/cell): 73.5
Magnetization (μB per formula unit): 0.000
DOS at the Fermi energy (states/eV/f.u.): 2.3
Formation energy from the elements (eV per atom): 0.035
Theoretical density (g/cm3): 5.24
Space group: Cmm2, No. 35

***

[4]
Material: Sr4FeBr
Method: DFT, PBE
State: relaxed

Cell and atoms, written as CIF:
```
data_Sr4FeBr
_cell_length_a 7.4083
_cell_length_b 7.4083
_cell_length_c 7.4083
_cell_angle_alpha 60.00
_cell_angle_beta 60.00
_cell_angle_gamma 60.00
_symmetry_space_group_name_H-M 'P 1'
_symmetry_Int_Tables_number 1
_symmetry_space_group_name_Hall 'P 1'
loop_
_atom_site_label
_atom_site_type_symbol
_atom_site_fract_x
_atom_site_fract_y
_atom_site_fract_z
Br1 Br 0.7500 0.7500 0.7500
Sr1 Sr 0.3742 0.8773 0.3742
Sr2 Sr 0.3742 0.3742 0.8773
Fe1 Fe 0.0000 0.0000 0.0000
Sr3 Sr 0.8773 0.3742 0.3742
Sr4 Sr 0.3742 0.3742 0.3742
```

Output
Volume (Å³/cell): 287.5
Magnetization (μB per formula unit): 1.974
Formation energy without anion corrections (meV per atom): 599
DOS at the Fermi energy (states/eV/f.u.): 12.3
Theoretical density (g/cm3): 2.81
Space group: F-43m, No. 216

***

[5]
Material: Pu2ThAg
Method: DFT, PBE
State: relaxed

Cell and atoms, written as CIF:
```
data_Pu2ThAg
_cell_length_a 3.5718
_cell_length_b 3.5718
_cell_length_c 8.3130
_cell_angle_alpha 90.00
_cell_angle_beta 90.00
_cell_angle_gamma 90.00
_symmetry_space_group_name_H-M 'P 1'
_symmetry_Int_Tables_number 1
_symmetry_space_group_name_Hall 'P 1'
loop_
_atom_site_label
_atom_site_type_symbol
_atom_site_fract_x
_atom_site_fract_y
_atom_site_fract_z
Th1 Th 0.5000 0.5000 0.5000
Ag1 Ag 0.5000 0.5000 0.0000
Pu1 Pu 0.0000 0.0000 0.2294
Pu2 Pu 0.0000 0.0000 0.7706
```

Output
Volume (Å³/cell): 106.1
Magnetization (μB per formula unit): 11.394
DOS at the Fermi energy (states/eV/f.u.): 16.4
Formation energy from the elements (eV per atom): 0.168
Theoretical density (g/cm3): 12.96
Space group: P4/mmm, No. 123

***

[6]
Material: ZrTe2Se
Method: DFT, PBE
State: relaxed

Cell and atoms, written as CIF:
```
data_ZrTe2Se
_cell_length_a 9.0651
_cell_length_b 9.0651
_cell_length_c 9.0651
_cell_angle_alpha 23.61
_cell_angle_beta 23.61
_cell_angle_gamma 23.61
_symmetry_space_group_name_H-M 'P 1'
_symmetry_Int_Tables_number 1
_symmetry_space_group_name_Hall 'P 1'
loop_
_atom_site_label
_atom_site_type_symbol
_atom_site_fract_x
_atom_site_fract_y
_atom_site_fract_z
Te1 Te 0.5082 0.5082 0.5082
Te2 Te 0.9918 0.9918 0.9918
Zr1 Zr 0.2500 0.2500 0.2500
Se1 Se 0.7500 0.7500 0.7500
```

Output
Volume (Å³/cell): 104.9
Magnetization (μB per formula unit): 0.000
Formation energy without anion corrections (meV per atom): -303
DOS at the Fermi energy (states/eV/f.u.): 3.5
Theoretical density (g/cm3): 6.73
Space group: R-3m, No. 166

***

[7]
Material: La2TlRuPb
Method: DFT, PBE
State: relaxed

Cell and atoms, written as CIF:
```
data_La2TlRuPb
_cell_length_a 5.3704
_cell_length_b 5.3704
_cell_length_c 5.3119
_cell_angle_alpha 90.00
_cell_angle_beta 90.00
_cell_angle_gamma 90.00
_symmetry_space_group_name_H-M 'P 1'
_symmetry_Int_Tables_number 1
_symmetry_space_group_name_Hall 'P 1'
loop_
_atom_site_label
_atom_site_type_symbol
_atom_site_fract_x
_atom_site_fract_y
_atom_site_fract_z
La1 La 0.0000 0.5000 0.0000
Ru1 Ru 0.0000 0.0000 0.0000
La2 La 0.5000 0.0000 0.0000
Pb1 Pb 0.5000 0.5000 0.5000
Tl1 Tl 0.0000 0.0000 0.5000
```

Output
Volume (Å³/cell): 153.2
Magnetization (μB per formula unit): 0.000
DOS at the Fermi energy (states/eV/f.u.): 5.0
Formation energy from the elements (eV per atom): -0.335
Theoretical density (g/cm3): 8.57
Space group: P4/mmm, No. 123

***

[8]
Material: IrAu2Cl
Method: DFT, PBE
State: relaxed

Cell and atoms, written as CIF:
```
data_IrAu2Cl
_cell_length_a 3.1384
_cell_length_b 2.9972
_cell_length_c 9.9095
_cell_angle_alpha 52.91
_cell_angle_beta 90.00
_cell_angle_gamma 90.00
_symmetry_space_group_name_H-M 'P 1'
_symmetry_Int_Tables_number 1
_symmetry_space_group_name_Hall 'P 1'
loop_
_atom_site_label
_atom_site_type_symbol
_atom_site_fract_x
_atom_site_fract_y
_atom_site_fract_z
Au1 Au 0.0000 0.6984 0.5251
Ir1 Ir 0.5000 0.7500 0.7500
Cl1 Cl 0.5000 0.2500 0.2500
Au2 Au 0.0000 0.8016 0.9749
```

Output
Volume (Å³/cell): 74.3
Magnetization (μB per formula unit): 1.213
Formation energy without anion corrections (meV per atom): 430
DOS at the Fermi energy (states/eV/f.u.): 4.1
Theoretical density (g/cm3): 13.88
Space group: P2/m, No. 10

***

[9]
Material: Ac6Nd8Er
Method: DFT, PBE
State: relaxed

Cell and atoms, written as CIF:
```
data_Ac6Nd8Er
_cell_length_a 9.2029
_cell_length_b 9.2029
_cell_length_c 9.2029
_cell_angle_alpha 62.74
_cell_angle_beta 62.74
_cell_angle_gamma 62.74
_symmetry_space_group_name_H-M 'P 1'
_symmetry_Int_Tables_number 1
_symmetry_space_group_name_Hall 'P 1'
loop_
_atom_site_label
_atom_site_type_symbol
_atom_site_fract_x
_atom_site_fract_y
_atom_site_fract_z
Er1 Er 0.0000 0.0000 0.0000
Nd1 Nd 0.2930 0.2374 0.8884
Nd2 Nd 0.5751 0.5751 0.5751
Nd3 Nd 0.7070 0.7626 0.1116
Ac1 Ac 0.4568 0.7609 0.9101
Nd4 Nd 0.7626 0.1116 0.7070
Ac2 Ac 0.9101 0.4568 0.7609
Ac3 Ac 0.0899 0.5432 0.2391
Nd5 Nd 0.2374 0.8884 0.2930
Nd6 Nd 0.8884 0.2930 0.2374
Ac4 Ac 0.2391 0.0899 0.5432
Nd7 Nd 0.1116 0.7070 0.7626
Ac5 Ac 0.5432 0.2391 0.0899
Nd8 Nd 0.4249 0.4249 0.4249
Ac6 Ac 0.7609 0.9101 0.4568
```

Output
Volume (Å³/cell): 584.8
Magnetization (μB per formula unit): 0.000
DOS at the Fermi energy (states/eV/f.u.): 23.4
Formation energy from the elements (eV per atom): 0.111
Theoretical density (g/cm3): 7.62
Space group: R-3, No. 148

***

[10]
Material: AgAsPd5
Method: DFT, PBE
State: relaxed

Cell and atoms, written as CIF:
```
data_AgAsPd5
_cell_length_a 4.0467
_cell_length_b 4.0467
_cell_length_c 7.0478
_cell_angle_alpha 90.00
_cell_angle_beta 90.00
_cell_angle_gamma 90.00
_symmetry_space_group_name_H-M 'P 1'
_symmetry_Int_Tables_number 1
_symmetry_space_group_name_Hall 'P 1'
loop_
_atom_site_label
_atom_site_type_symbol
_atom_site_fract_x
_atom_site_fract_y
_atom_site_fract_z
As1 As 0.0000 0.0000 0.5000
Pd1 Pd 0.0000 0.5000 0.2907
Pd2 Pd 0.5000 0.0000 0.7093
Pd3 Pd 0.5000 0.0000 0.2907
Pd4 Pd 0.0000 0.5000 0.7093
Ag1 Ag 0.0000 0.0000 0.0000
Pd5 Pd 0.5000 0.5000 0.0000
```

Output
Volume (Å³/cell): 115.4
Magnetization (μB per formula unit): 0.000
DOS at the Fermi energy (states/eV/f.u.): 2.9
Formation energy from the elements (eV per atom): -0.204
Theoretical density (g/cm3): 10.29
Space group: P4/mmm, No. 123